(1)
# ZnRuPt | Alexandria via LeMat-Bulk | PBE | optimized geometry
# **ΔE to the lowest computed polymorph**: 0.121 eV per atom
# **Volume**: 44.6 Å³/cell
# **Magnetic moment**: 1.77 μB/f.u.
# **DOS(E_F)**: 0.797 states/eV/atom
data_ZnRuPt
_space_group_name_H-M_alt 'P 1'
_space_group_IT_number 1
_space_group_name_Hall 'P 1'
_cell_length_a 4.362
_cell_length_b 4.362
_cell_length_c 2.708
_cell_angle_alpha 90.00
_cell_angle_beta 90.00
_cell_angle_gamma 120.00
loop_
_atom_site_label
_atom_site_type_symbol
_atom_site_fract_x
_atom_site_fract_y
_atom_site_fract_z
_atom_site_occupancy
Pt1 Pt 0.000 0.000 0.833 1
Ru1 Ru 0.667 0.333 0.333 1
Zn1 Zn 0.333 0.667 0.834 1

---

(2)
# ZnRuPt2 | Alexandria via LeMat-Bulk | PBE | optimized geometry
# **Volume**: 60.4 Å³/cell
# **Magnetic moment**: 1.80 μB/f.u.
# **DOS(E_F)**: 0.651 states/eV/atom
data_ZnRuPt2
_space_group_name_H-M_alt 'P 1'
_space_group_IT_number 1
_space_group_name_Hall 'P 1'
_cell_length_a 4.404
_cell_length_b 4.404
_cell_length_c 4.404
_cell_angle_alpha 60.00
_cell_angle_beta 60.00
_cell_angle_gamma 60.00
loop_
_atom_site_label
_atom_site_type_symbol
_atom_site_fract_x
_atom_site_fract_y
_atom_site_fract_z
_atom_site_occupancy
Pt1 Pt 0.000 0.000 0.000 1
Pt2 Pt 0.250 0.250 0.250 1
Ru1 Ru 0.500 0.500 0.500 1
Zn1 Zn 0.750 0.750 0.750 1

---

(3)
# ZnRuPt | Alexandria via LeMat-Bulk | PBE | optimized geometry
# **ΔE to the lowest computed polymorph**: 0.158 eV per atom
# **Volume**: 44.5 Å³/cell
# **Magnetic moment**: 0.73 μB/f.u.
# **DOS(E_F)**: 1.419 states/eV/atom
data_ZnRuPt
_space_group_name_H-M_alt 'P 1'
_space_group_IT_number 1
_space_group_name_Hall 'P 1'
_cell_length_a 7.208
_cell_length_b 6.960
_cell_length_c 2.721
_cell_angle_alpha 84.10
_cell_angle_beta 73.84
_cell_angle_gamma 22.06
loop_
_atom_site_label
_atom_site_type_symbol
_atom_site_fract_x
_atom_site_fract_y
_atom_site_fract_z
_atom_site_occupancy
Pt1 Pt 0.004 0.004 0.996 1
Ru1 Ru 0.329 0.329 0.671 1
Zn1 Zn 0.668 0.668 0.332 1

---

no.,energy relative to the elements (eV/atom)
1,0.0203
2,0.0031
3,0.0578